# 1
# Cd2HgO2

A relaxed structure of Cd2HgO2 (PBE, Alexandria).

Geometry as POSCAR:
```
Cd2HgO2
1.0
-3.2246 -0.6558 -2.2458
1.5199 -4.1121 -0.9816
-3.1745 -1.7427 5.0669
O Cd Hg
2 2 1
Direct
0.7000 0.2931 0.4171 O
0.2000 0.8174 0.6017 O
0.2000 0.3121 0.5793 Cd
0.7000 0.7889 0.3938 Cd
0.2000 0.7884 0.0081 Hg
```

Computed properties:
**Energy**: -3.022 eV per atom
**Energy above the most stable polymorph in this dataset**: 0.000 eV per atom
**Volume**: 111.0 Å³/f.u.
**Uncorrected formation energy**: -612.6 meV/atom

=====

# 2
# Cd2HgO

A relaxed structure of Cd2HgO (PBE, Alexandria).

Geometry as POSCAR:
```
Cd2HgO
1.0
-0.0179 3.3706 0.6075
-1.6317 1.2366 2.7456
5.6788 0.8456 5.1301
O Cd Hg
1 2 1
Direct
0.0000 0.0000 0.0000 O
0.7291 0.7291 0.8127 Cd
0.2709 0.2709 0.1873 Cd
0.5000 0.5000 0.5000 Hg
```

Computed properties:
**Energy**: -2.212 eV per atom
**Energy above the most stable polymorph in this dataset**: 0.000 eV per atom
**Volume**: 75.6 Å³/f.u.
**Uncorrected formation energy**: -439.1 meV/atom

=====

Q: What is the energy in the first record?
A: -3.022 eV per atom